[1]
Here is an optimized crystal structure of PaTaVO6 from Alexandria via LeMat-Bulk. Energies are from PBE with a Hubbard U.

Values from the calculation:
- Crystal system: trigonal

Unit cell a=5.5759 b=5.5759 c=8.9427 alpha=90.00 beta=90.00 gamma=120.00
With the nearest neighbours (Å) after each atom.
Space group P-31c (No. 163)
Symmetry-distinct sites (fractional):
Pa 0.3333 0.6667 0.2500 (multiplicity 2)  6 O 2.19
Ta 0.3333 0.6667 0.7500 (multiplicity 2)  6 O 2.01
V 0.0000 0.0000 0.0000 (multiplicity 2)  6 O 2.28
O 0.0247 0.3607 0.6327 (multiplicity 12)  1 Ta 2.01, 1 Pa 2.19

[2]
Here is an optimized crystal structure of PaTaV2O8 from Alexandria via LeMat-Bulk. Energies are from PBE with a Hubbard U.

Values from the calculation:
- Crystal system: orthorhombic

Unit cell a=6.6826 b=6.7044 c=6.6268 alpha=90.00 beta=90.00 gamma=90.00
With the nearest neighbours (Å) after each atom.
Space group Cmmm (No. 65)
Symmetry-distinct sites (fractional):
Pa 0.0000 0.0000 0.0000 (multiplicity 2)  6 O 2.09-2.24
Ta 0.0000 0.0000 0.5000 (multiplicity 2)  6 O 2.00-2.01
V 0.0000 0.5000 0.2625 (multiplicity 4)  6 O 2.03-2.15
O 0.0000 0.1975 0.2721 (multiplicity 8)  1 Ta 2.01, 1 V 2.03, 1 Pa 2.24
O 0.1878 0.5000 0.0000 (multiplicity 4)  1 Pa 2.09, 2 V 2.15
O 0.2008 0.5000 0.5000 (multiplicity 4)  1 Ta 2.00, 2 V 2.07

Number 1: calculated volume 120.4 Å³/f.u., total energy -9.308 eV/atom. Number 2: calculated volume 148.5 Å³/f.u., total energy -9.050 eV/atom.